Here is a geometry-optimized TbDyNi2Ge2 structure from Alexandria. Energies are from PBE-GGA.

a = 4.2202 Å, b = 4.2202 Å, c = 7.1698 Å
α = 90.00°, β = 90.00°, γ = 120.00°
Sites, in units of the cell vectors:
Ni  0.3333  0.6667  0.7450
Ni  0.6667  0.3333  0.2550
Ge  0.3333  0.6667  0.2527
Ge  0.6667  0.3333  0.7473
Dy  0.0000  0.0000  0.5000
Tb  0.0000  0.0000  0.0000

Computed properties:
Formation enthalpy at 0 K, eV per atom: -0.757
Volume, Å³ per cell: 110.6
Total magnetic moment, Bohr magnetons per cell: 0.0


Here is a geometry-optimized Dy2TcNi3Ge4 structure from Alexandria. Energies are from PBE-GGA.

a = 4.0838 Å, b = 4.0838 Å, c = 9.9600 Å
α = 90.00°, β = 90.00°, γ = 90.00°
Sites, in units of the cell vectors:
Dy  0.5000  0.0000  0.2412
Dy  0.0000  0.5000  0.7588
Ni  0.0000  0.0000  0.5000
Ni  0.5000  0.0000  0.8744
Ni  0.0000  0.5000  0.1256
Ge  0.5000  0.0000  0.6378
Ge  0.0000  0.0000  0.0000
Ge  0.0000  0.5000  0.3622
Ge  0.5000  0.5000  0.0000
Tc  0.5000  0.5000  0.5000

Computed properties:
Formation enthalpy at 0 K, eV per atom: -0.630
Volume, Å³ per cell: 166.1
Total magnetic moment, Bohr magnetons per cell: 0.0


Here is a geometry-optimized DyThNi2Ge2 structure from Alexandria. Energies are from PBE-GGA.

a = 4.1665 Å, b = 4.1665 Å, c = 7.7505 Å
α = 90.00°, β = 90.00°, γ = 120.00°
Sites, in units of the cell vectors:
Ni  0.6667  0.3333  0.2599
Ni  0.3333  0.6667  0.7401
Ge  0.6667  0.3333  0.7410
Ge  0.3333  0.6667  0.2590
Dy  0.0000  0.0000  0.5000
Th  0.0000  0.0000  0.0000

Computed properties:
Formation enthalpy at 0 K, eV per atom: -0.772
Volume, Å³ per cell: 116.5
Total magnetic moment, Bohr magnetons per cell: 0.0


Here is a geometry-optimized Dy2TiNi3Ge4 structure from Alexandria. Energies are from PBE-GGA.

a = 4.0373 Å, b = 4.0373 Å, c = 10.3912 Å
α = 90.00°, β = 90.00°, γ = 90.00°
Sites, in units of the cell vectors:
Ni  0.5000  0.0000  0.8769
Ni  0.0000  0.0000  0.5000
Ni  0.0000  0.5000  0.1231
Dy  0.5000  0.0000  0.2360
Dy  0.0000  0.5000  0.7640
Ge  0.0000  0.0000  0.0000
Ge  0.5000  0.0000  0.6492
Ge  0.0000  0.5000  0.3508
Ge  0.5000  0.5000  0.0000
Ti  0.5000  0.5000  0.5000

Computed properties:
Formation enthalpy at 0 K, eV per atom: -0.684
Volume, Å³ per cell: 169.4
Total magnetic moment, Bohr magnetons per cell: 0.0


Here is a geometry-optimized Dy2TiNi4Ge3 structure from Alexandria. Energies are from PBE-GGA.

a = 4.0101 Å, b = 4.0101 Å, c = 10.1188 Å
α = 90.00°, β = 90.00°, γ = 90.00°
Sites, in units of the cell vectors:
Ni  0.0000  0.0000  0.0000
Ni  0.0000  0.5000  0.3609
Ni  0.5000  0.5000  0.0000
Ni  0.5000  0.0000  0.6391
Ge  0.0000  0.0000  0.5000
Ge  0.0000  0.5000  0.1297
Ge  0.5000  0.0000  0.8703
Dy  0.0000  0.5000  0.7619
Dy  0.5000  0.0000  0.2381
Ti  0.5000  0.5000  0.5000

Computed properties:
Formation enthalpy at 0 K, eV per atom: -0.666
Volume, Å³ per cell: 162.7
Total magnetic moment, Bohr magnetons per cell: 0.0


Here is a geometry-optimized DyYNiGe structure from Alexandria. Energies are from PBE-GGA.

a = 4.9325 Å, b = 4.9325 Å, c = 4.9325 Å
α = 60.00°, β = 60.00°, γ = 60.00°
Sites, in units of the cell vectors:
Dy  0.7500  0.7500  0.7500
Ni  0.0000  0.0000  0.0000
Y  0.2500  0.2500  0.2500
Ge  0.5000  0.5000  0.5000

Computed properties:
Formation enthalpy at 0 K, eV per atom: -0.546
Volume, Å³ per cell: 84.9
Total magnetic moment, Bohr magnetons per cell: 0.0


Here is a geometry-optimized DyZn2Ni2Ge structure from Alexandria. Energies are from PBE-GGA.

a = 4.3726 Å, b = 4.3726 Å, c = 5.5341 Å
α = 90.00°, β = 90.00°, γ = 90.00°
Sites, in units of the cell vectors:
Ni  0.5000  0.0000  0.0000
Ni  0.0000  0.5000  0.0000
Ge  0.0000  0.0000  0.0000
Dy  0.0000  0.0000  0.5000
Zn  0.5000  0.5000  0.7377
Zn  0.5000  0.5000  0.2623

Computed properties:
Formation enthalpy at 0 K, eV per atom: -0.189
Volume, Å³ per cell: 105.8
Total magnetic moment, Bohr magnetons per cell: 0.0


Here is a geometry-optimized Dy3Zn2Ni9Ge structure from Alexandria. Energies are from PBE-GGA.

a = 5.9681 Å, b = 5.9681 Å, c = 8.4638 Å
α = 90.00°, β = 90.00°, γ = 120.00°
Sites, in units of the cell vectors:
Ni  0.0000  0.5000  0.0000
Ni  0.8668  0.1332  0.7186
Ni  0.8668  0.7336  0.7186
Ni  0.7336  0.8668  0.2814
Ni  0.1332  0.8668  0.2814
Ni  0.5000  0.0000  0.0000
Ni  0.1332  0.2664  0.2814
Ni  0.2664  0.1332  0.7186
Ni  0.5000  0.5000  0.0000
Ge  0.0000  0.0000  0.5000
Dy  0.0000  0.0000  0.0000
Dy  0.6667  0.3333  0.2858
Dy  0.3333  0.6667  0.7142
Zn  0.6667  0.3333  0.8134
Zn  0.3333  0.6667  0.1866

Computed properties:
Formation enthalpy at 0 K, eV per atom: -0.048
Volume, Å³ per cell: 261.1
Total magnetic moment, Bohr magnetons per cell: 0.0